# Sc3CdO PBE optimized geometry
# symmetry = I-4m2 (119)
# theoretical density = 3.44 g/cm³
# E = -4.92 eV/atom
# calculated volume = 25.43 Å³/atom
data_Sc3CdO
_space_group_name_H-M_alt 'P 1'
_space_group_IT_number 1
_space_group_name_Hall 'P 1'
_cell_length_a 12.627
_cell_length_b 12.627
_cell_length_c 12.627
_cell_angle_alpha 159.18
_cell_angle_beta 159.18
_cell_angle_gamma 29.62
loop_
_atom_site_label
_atom_site_type_symbol
_atom_site_fract_x
_atom_site_fract_y
_atom_site_fract_z
_atom_site_occupancy
Sc1 Sc 0.182 0.182 0.000 1
Sc2 Sc 0.380 0.142 0.761 1
Sc3 Sc 0.380 0.619 0.239 1
Sc4 Sc 0.381 0.620 0.761 1
Sc5 Sc 0.818 0.818 0.000 1
Sc6 Sc 0.858 0.620 0.239 1
Cd1 Cd 0.250 0.750 0.500 1
Cd2 Cd 0.500 0.500 0.000 1
O1 O 0.646 0.146 0.500 1
O2 O 0.854 0.354 0.500 1